Computed, not measured: an optimized crystal structure of TaZnCo2O6 at the GGA+U level of DFT.

D(E_F)   0.00 states/eV per atom
M_tot   2.9 μB per cell
V   10.6 A^3/atom
Uncorrected energy   -69.87 eV/f.u.

a b c (Å): 5.0947 5.0955 5.5671
angles (deg): 62.75 62.75 60.01
Site moments in Bohr magnetons follow the coordinates.
Fractional coordinates of all 10 atoms:
Ta 0.3182 0.3182 0.0454  0.03
Zn 0.8001 0.8000 0.6000  0.00
Co 0.5233 0.5233 0.4301  2.66
Co 0.0094 0.0094 0.9718  0.05
O 0.6164 0.2219 0.2299  0.02
O 0.2218 0.9317 0.2300  0.02
O 0.9317 0.6165 0.2297  0.02
O 0.3864 0.7327 0.7595  0.02
O 0.7326 0.1216 0.7595  0.02
O 0.1217 0.3863 0.7593  0.02


Computed, not measured: an optimized crystal structure of ZrTaCoO6 at the GGA+U level of DFT.

M_tot   4.0 μB per cell
V   11.9 A^3/atom
Uncorrected energy   -76.81 eV/f.u.

a b c (Å): 4.8122 4.8122 9.2288
angles (deg): 90.00 90.00 90.00
Site moments in Bohr magnetons follow the coordinates.
Fractional coordinates of all 18 atoms:
Zr 0.5000 0.5000 0.1711  0.01
Zr 0.0000 0.0000 0.6711  0.01
Ta 0.5000 0.5000 0.8372  0.03
Ta 0.0000 0.0000 0.3372  0.03
Co 0.5000 0.5000 0.5015  1.98
Co 0.0000 0.0000 0.0015  1.98
O 0.1946 0.8054 0.4904  0.04
O 0.8054 0.1946 0.4904  0.04
O 0.3054 0.3054 0.9904  0.04
O 0.6946 0.6946 0.9904  0.04
O 0.1849 0.8151 0.1626  -0.04
O 0.8151 0.1849 0.1626  -0.04
O 0.3151 0.3151 0.6626  -0.04
O 0.6849 0.6849 0.6626  -0.04
O 0.8000 0.2000 0.8421  -0.03
O 0.2000 0.8000 0.8421  -0.03
O 0.7000 0.7000 0.3421  -0.03
O 0.3000 0.3000 0.3421  -0.03


V of number 2 (ZrTaCoO6)?
11.9 A^3/atom


Copy entry 1 word for word.
Computed, not measured: an optimized crystal structure of TaZnCo2O6 at the GGA+U level of DFT.

D(E_F)   0.00 states/eV per atom
M_tot   2.9 μB per cell
V   10.6 A^3/atom
Uncorrected energy   -69.87 eV/f.u.

a b c (Å): 5.0947 5.0955 5.5671
angles (deg): 62.75 62.75 60.01
Site moments in Bohr magnetons follow the coordinates.
Fractional coordinates of all 10 atoms:
Ta 0.3182 0.3182 0.0454  0.03
Zn 0.8001 0.8000 0.6000  0.00
Co 0.5233 0.5233 0.4301  2.66
Co 0.0094 0.0094 0.9718  0.05
O 0.6164 0.2219 0.2299  0.02
O 0.2218 0.9317 0.2300  0.02
O 0.9317 0.6165 0.2297  0.02
O 0.3864 0.7327 0.7595  0.02
O 0.7326 0.1216 0.7595  0.02
O 0.1217 0.3863 0.7593  0.02


Which formula does entry 1 have?
TaZnCo2O6


Look up the V of the first one.
10.6 A^3/atom